Density functional theory data (GGA-PBE) for a geometry-optimized MnSi2BAu structure.

The structure belongs to space group P4/mmm (No. 123); the cell edges are 4.063, 4.063 and 4.314 Å and the angles 90.00°, 90.00° and 90.00°. The distinct sites, in fractional coordinates, are Mn at (0.000, 0.000, 0.000), Si at (0.000, 0.500, 0.500), B at (0.500, 0.500, 0.500) and Au at (0.500, 0.500, 0.000).

For the uncorrected formation energy, the calculation gives 1.0142 eV per atom. The calculation puts the total magnetization at 0.10 μB/f.u. The value obtained for the total energy is -4.980 eV per atom.

***

Density functional theory data (GGA-PBE) for a geometry-optimized SrMn2BAu structure.

The structure belongs to space group P4/mmm (No. 123); the cell edges are 4.969, 4.969 and 5.848 Å and the angles 90.00°, 90.00° and 90.00°. The distinct sites, in fractional coordinates, are Sr at (0.000, 0.000, 0.000), Mn at (0.000, 0.500, 0.500), B at (0.500, 0.500, 0.000) and Au at (0.000, 0.000, 0.500).

The calculation puts the total magnetization at 7.79 μB/f.u. The value obtained for the total energy is -4.708 eV per atom. The value obtained for the formation energy is 1.287 eV per atom.

***

Density functional theory data (GGA-PBE) for a geometry-optimized MnBTeAu2 structure.

The structure belongs to space group Cm (No. 8); the cell edges are 7.649, 3.237 and 7.758 Å and the angles 90.00°, 95.90° and 90.00°. The distinct sites, in fractional coordinates, are Mn at (0.000, 0.000, 0.000), B at (0.092, 0.500, 0.161), Te at (0.179, 0.500, 0.795), Au at (0.128, 0.500, 0.447) and Au at (0.308, 0.000, 0.202).

The calculation puts the energy above the lowest structure with this stoichiometry at 59 meV/atom. For the uncorrected formation energy, the calculation gives 0.2157 eV per atom. The calculation puts the total magnetization at 2.46 μB/f.u. The value obtained for the total energy is -4.893 eV per atom.

***

Density functional theory data (GGA-PBE) for a geometry-optimized MnBTeAu2 structure.

The structure belongs to space group Cm (No. 8); the cell edges are 10.277, 3.101 and 6.576 Å and the angles 90.00°, 101.22° and 90.00°. The distinct sites, in fractional coordinates, are Mn at (0.000, 0.000, 0.000), B at (0.131, 0.500, 0.091), Te at (0.391, 0.000, 0.675), Au at (0.026, 0.500, 0.355) and Au at (0.273, 0.000, 0.074).

The calculation puts the energy above the lowest structure with this stoichiometry at 47 meV/atom. For the uncorrected formation energy, the calculation gives 0.2037 eV per atom. The calculation puts the total magnetization at 2.57 μB/f.u. The value obtained for the total energy is -4.905 eV per atom.

***

Density functional theory data (GGA-PBE) for a geometry-optimized MnBTeAu2 structure.

The structure belongs to space group Cm (No. 8); the cell edges are 14.714, 4.321 and 3.222 Å and the angles 90.00°, 90.06° and 90.00°. The distinct sites, in fractional coordinates, are Mn at (0.000, 0.000, 0.000), B at (0.412, 0.500, 0.499), Te at (0.125, 0.500, 0.001), Au at (0.309, 0.500, 0.999) and Au at (0.432, 0.000, 0.500).

The calculation puts the energy above the lowest structure with this stoichiometry at 43 meV/atom. For the uncorrected formation energy, the calculation gives 0.1997 eV per atom. The calculation puts the total magnetization at 2.74 μB/f.u. The value obtained for the total energy is -4.909 eV per atom.

***

Density functional theory data (GGA-PBE) for a geometry-optimized MnBTeAu2 structure.

The structure belongs to space group Cm (No. 8); the cell edges are 9.590, 3.134 and 6.768 Å and the angles 90.00°, 100.05° and 90.00°. The distinct sites, in fractional coordinates, are Mn at (0.000, 0.000, 0.000), B at (0.023, 0.500, 0.197), Te at (0.368, 0.000, 0.694), Au at (0.233, 0.500, 0.088) and Au at (0.491, 0.500, 0.406).

The calculation puts the energy above the lowest structure with this stoichiometry at 79 meV/atom. For the uncorrected formation energy, the calculation gives 0.2357 eV per atom. The calculation puts the total magnetization at 2.66 μB/f.u. The value obtained for the total energy is -4.873 eV per atom.

***

Density functional theory data (GGA-PBE) for a geometry-optimized MnBTeAu2 structure.

The structure belongs to space group Pm (No. 6); the cell edges are 4.280, 4.128 and 5.434 Å and the angles 90.00°, 105.31° and 90.00°. The distinct sites, in fractional coordinates, are Mn at (0.000, 0.000, 0.000), B at (0.990, 0.500, 0.937), Te at (0.777, 0.000, 0.454), Au at (0.247, 0.500, 0.365) and Au at (0.476, 0.500, 0.896).

The calculation puts the energy above the lowest structure with this stoichiometry at 151 meV/atom. For the uncorrected formation energy, the calculation gives 0.3080 eV per atom. The calculation puts the total magnetization at 3.18 μB/f.u. The value obtained for the total energy is -4.801 eV per atom.

***

Density functional theory data (GGA-PBE) for a geometry-optimized MnBTeAu2 structure.

The structure belongs to space group P1 (No. 1); the cell edges are 4.252, 4.510 and 5.582 Å and the angles 76.00°, 88.84° and 75.31°. The distinct sites, in fractional coordinates, are Mn at (0.000, 0.000, 0.000), B at (0.131, 0.547, 0.900), Te at (0.999, 0.956, 0.496), Au at (0.431, 0.236, 0.693) and Au at (0.623, 0.580, 0.016).

The calculation puts the energy above the lowest structure with this stoichiometry at 114 meV/atom. For the uncorrected formation energy, the calculation gives 0.2708 eV per atom. The calculation puts the total magnetization at 3.78 μB/f.u. The value obtained for the total energy is -4.838 eV per atom.

***

Density functional theory data (GGA-PBE) for a geometry-optimized MnBTeAu2 structure.

The structure belongs to space group Imm2 (No. 44); the cell edges are 3.649, 4.181 and 13.122 Å and the angles 90.00°, 90.00° and 90.00°. The distinct sites, in fractional coordinates, are Mn at (0.000, 0.000, 0.000), B at (0.000, 0.500, 0.396), Te at (0.000, 0.500, 0.138), Au at (0.000, 0.000, 0.442) and Au at (0.000, 0.000, 0.796).

The calculation puts the energy above the lowest structure with this stoichiometry at 3 meV/atom. For the uncorrected formation energy, the calculation gives 0.1596 eV per atom. The calculation puts the total magnetization at 3.59 μB/f.u. The value obtained for the total energy is -4.949 eV per atom.

***

Density functional theory data (GGA-PBE) for a geometry-optimized MnBTeAu2 structure.

The structure belongs to space group Pm (No. 6); the cell edges are 3.806, 4.161 and 5.982 Å and the angles 90.00°, 97.42° and 90.00°. The distinct sites, in fractional coordinates, are Mn at (0.000, 0.000, 0.000), B at (0.458, 0.000, 0.840), Te at (0.071, 0.500, 0.307), Au at (0.484, 0.500, 0.934) and Au at (0.710, 0.000, 0.541).

The calculation puts the energy above the lowest structure with this stoichiometry at 140 meV/atom. For the uncorrected formation energy, the calculation gives 0.2971 eV per atom. The calculation puts the total magnetization at 2.22 μB/f.u. The value obtained for the total energy is -4.812 eV per atom.

***

Density functional theory data (GGA-PBE) for a geometry-optimized MnBTeAu2 structure.

The structure belongs to space group Imm2 (No. 44); the cell edges are 3.195, 4.342 and 13.751 Å and the angles 90.00°, 90.00° and 90.00°. The distinct sites, in fractional coordinates, are Mn at (0.000, 0.000, 0.000), B at (0.000, 0.500, 0.402), Te at (0.000, 0.500, 0.659), Au at (0.000, 0.000, 0.454) and Au at (0.000, 0.000, 0.795).

The calculation puts the energy above the lowest structure with this stoichiometry at 0 meV/atom. For the uncorrected formation energy, the calculation gives 0.1568 eV per atom. The calculation puts the total magnetization at 2.71 μB/f.u. The value obtained for the total energy is -4.952 eV per atom.

***

Density functional theory data (GGA-PBE) for a geometry-optimized MnBTeAu2 structure.

The structure belongs to space group Amm2 (No. 38); the cell edges are 3.187, 4.324 and 14.354 Å and the angles 90.00°, 90.00° and 90.00°. The distinct sites, in fractional coordinates, are Mn at (0.000, 0.000, 0.000), B at (0.500, 0.000, 0.086), Te at (0.000, 0.000, 0.820), Au at (0.000, 0.000, 0.192) and Au at (0.500, 0.000, 0.529).

The calculation puts the energy above the lowest structure with this stoichiometry at 37 meV/atom. For the uncorrected formation energy, the calculation gives 0.1939 eV per atom. The calculation puts the total magnetization at 2.52 μB/f.u. The value obtained for the total energy is -4.915 eV per atom.

***

Density functional theory data (GGA-PBE) for a geometry-optimized MnBTeAu2 structure.

The structure belongs to space group P1 (No. 1); the cell edges are 3.213, 3.921 and 7.759 Å and the angles 92.65°, 91.86° and 112.34°. The distinct sites, in fractional coordinates, are Mn at (0.000, 0.000, 0.000), B at (0.347, 0.660, 0.060), Te at (0.826, 0.026, 0.510), Au at (0.298, 0.558, 0.776) and Au at (0.752, 0.446, 0.228).

The calculation puts the energy above the lowest structure with this stoichiometry at 90 meV/atom. For the uncorrected formation energy, the calculation gives 0.2466 eV per atom. The calculation puts the total magnetization at 2.89 μB/f.u. The value obtained for the total energy is -4.862 eV per atom.

***

Density functional theory data (GGA-PBE) for a geometry-optimized MnBTeAu2 structure.

The structure belongs to space group Amm2 (No. 38); the cell edges are 3.156, 3.563 and 15.586 Å and the angles 90.00°, 90.00° and 90.00°. The distinct sites, in fractional coordinates, are Mn at (0.000, 0.000, 0.000), B at (0.500, 0.000, 0.094), Te at (0.500, 0.000, 0.412), Au at (0.000, 0.000, 0.629) and Au at (0.500, 0.000, 0.237).

The calculation puts the energy above the lowest structure with this stoichiometry at 84 meV/atom. For the uncorrected formation energy, the calculation gives 0.2412 eV per atom. The calculation puts the total magnetization at 2.16 μB/f.u. The value obtained for the total energy is -4.868 eV per atom.

***

Density functional theory data (GGA-PBE) for a geometry-optimized BMo3Au structure.

The structure belongs to space group Pm-3m (No. 221); the cell edges are 4.828, 4.828 and 4.828 Å and the angles 90.00°, 90.00° and 90.00°. The distinct sites, in fractional coordinates, are B at (0.000, 0.000, 0.000), Mo at (0.000, 0.500, 0.500) and Au at (0.500, 0.500, 0.500).

The calculation puts the energy above the lowest structure with this stoichiometry at 2925 meV/atom. The calculation puts the total magnetization at 0.00 μB/f.u. The value obtained for the total energy is -5.371 eV per atom. The value obtained for the formation energy is 3.118 eV per atom.

***

Density functional theory data (GGA-PBE) for a geometry-optimized BMo3Au structure.

The structure belongs to space group Pm-3m (No. 221); the cell edges are 4.207, 4.207 and 4.207 Å and the angles 90.00°, 90.00° and 90.00°. The distinct sites, in fractional coordinates, are B at (0.000, 0.000, 0.000), Mo at (0.000, 0.000, 0.500) and Au at (0.500, 0.500, 0.500).

The calculation puts the energy above the lowest structure with this stoichiometry at 0 meV/atom. The calculation puts the total magnetization at 0.00 μB/f.u. The value obtained for the total energy is -8.296 eV per atom. The value obtained for the formation energy is 0.194 eV per atom.

***

Density functional theory data (GGA-PBE) for a geometry-optimized BMoAu2 structure.

The structure belongs to space group I-42d (No. 122); the cell edges are 4.645, 4.645 and 13.690 Å and the angles 90.00°, 90.00° and 90.00°. The distinct sites, in fractional coordinates, are B at (0.000, 0.000, 0.000), Mo at (0.000, 0.000, 0.500) and Au at (0.162, 0.250, 0.125).

The calculation puts the total magnetization at 1.02 μB/f.u. The value obtained for the total energy is -4.842 eV per atom. The value obtained for the formation energy is 1.174 eV per atom.

***

Density functional theory data (GGA-PBE) for a geometry-optimized NiB2MoAu structure.

The structure belongs to space group P4/mmm (No. 123); the cell edges are 3.829, 3.829 and 4.746 Å and the angles 90.00°, 90.00° and 90.00°. The distinct sites, in fractional coordinates, are Ni at (0.000, 0.000, 0.000), B at (0.000, 0.500, 0.000), Mo at (0.000, 0.000, 0.500) and Au at (0.500, 0.500, 0.500).

The calculation puts the total magnetization at 0.46 μB/f.u. The value obtained for the total energy is -5.508 eV per atom. The value obtained for the formation energy is 1.141 eV per atom.

***

Density functional theory data (GGA-PBE) for a geometry-optimized TcB2MoAu structure.

The structure belongs to space group P4/mmm (No. 123); the cell edges are 3.907, 3.907 and 5.492 Å and the angles 90.00°, 90.00° and 90.00°. The distinct sites, in fractional coordinates, are Tc at (0.000, 0.000, 0.000), B at (0.000, 0.500, 0.500), Mo at (0.500, 0.500, 0.000) and Au at (0.000, 0.000, 0.500).

The calculation puts the total magnetization at 0.00 μB/f.u. The value obtained for the total energy is -5.652 eV per atom. The value obtained for the formation energy is 1.914 eV per atom.

***

Density functional theory data (GGA-PBE) for a geometry-optimized Ti2BMoAu structure.

The structure belongs to space group P4/mmm (No. 123); the cell edges are 4.626, 4.626 and 5.088 Å and the angles 90.00°, 90.00° and 90.00°. The distinct sites, in fractional coordinates, are Ti at (0.000, 0.500, 0.000), B at (0.000, 0.000, 0.500), Mo at (0.500, 0.500, 0.000) and Au at (0.500, 0.500, 0.500).

The calculation puts the total magnetization at 0.00 μB/f.u. The value obtained for the total energy is -5.657 eV per atom. The value obtained for the formation energy is 1.658 eV per atom.